Density functional theory data (PBE) for a relaxed structure of Pr2Er5Tm3.

V: 341 Å³/f.u.
DFT formation energy: 0.43 eV per atom
total energy: -4.15 eV per atom
E above lowest polymorph: 230 meV per atom
space group: No. 72
total magnetization: 0.00 μB/cell

POSCAR file:
```
Pr2Er5Tm3
1.0
6.729 0.000 0.000
3.364 11.440 2.833
3.364 5.767 10.278
Tm Pr Er
6 4 10
direct
0.250 0.000 0.000
0.750 0.000 0.000
0.125 0.125 0.625
0.625 0.625 0.125
0.375 0.375 0.875
0.875 0.875 0.375
0.375 0.020 0.230
0.125 0.770 0.980
0.625 0.980 0.770
0.875 0.230 0.020
0.002 0.748 0.748
0.124 0.461 0.290
0.502 0.748 0.748
0.624 0.290 0.461
0.250 0.500 0.500
0.998 0.252 0.252
0.750 0.500 0.500
0.498 0.252 0.252
0.376 0.710 0.539
0.876 0.539 0.710
```

***

Density functional theory data (PBE) for a relaxed structure of LaMgMnIn2.

V: 133 Å³/f.u.
DFT formation energy: 0.04 eV per atom
total energy: -4.19 eV per atom
space group: No. 123
total magnetization: 0.93 μB/cell

POSCAR file:
```
LaMgMnIn2
1.0
-3.032 -3.966 -1.402
1.712 0.321 -4.614
3.801 -3.323 1.180
In Mg La Mn
2 1 1 1
direct
0.000 0.000 0.500
0.500 0.000 0.000
0.500 0.500 0.500
0.000 0.500 0.000
0.000 0.000 0.000
```

***

- The lowest total magnetization belongs to which entry?
  Pr2Er5Tm3